[1]
DFT (meta-GGA SCAN) results for Pu2SO2 at its PBEsol-relaxed geometry.

abc: 3.800 3.800 6.526
angles: 90.00 90.00 120.00
Last column: magnetic moment on the atom in μB.
Element x y z (fractional)
Pu1 0.333 0.667 0.274  5.01
Pu2 0.667 0.333 0.726  5.01
S1 0.000 0.000 0.000  -0.15
O1 0.667 0.333 0.371  -0.14
O2 0.333 0.667 0.629  -0.14

Energy relative to the elements, uncorrected (eV per atom): -2.73
Space group: No. 164

[2]
DFT (meta-GGA SCAN) results for Nd7Co3 at its PBEsol-relaxed geometry.

abc: 6.226 9.625 9.625
angles: 120.00 90.00 90.00
Element x y z (fractional)
Nd1 0.485 0.333 0.667
Nd2 0.985 0.667 0.333
Nd3 0.444 0.538 0.462
Nd4 0.944 0.462 0.538
Nd5 0.444 0.923 0.462
Nd6 0.444 0.538 0.077
Nd7 0.944 0.462 0.923
Nd8 0.944 0.077 0.538
Nd9 0.245 0.126 0.874
Nd10 0.745 0.874 0.126
Nd11 0.245 0.749 0.874
Nd12 0.245 0.126 0.251
Nd13 0.745 0.874 0.749
Nd14 0.745 0.251 0.126
Co1 0.206 0.813 0.187
Co2 0.706 0.187 0.813
Co3 0.206 0.374 0.187
Co4 0.206 0.813 0.626
Co5 0.706 0.187 0.374
Co6 0.706 0.626 0.813

ΔH_f (0 K) (eV/atom): 0.03
Space group: No. 186

[3]
DFT (meta-GGA SCAN) results for Li2LaY at its PBEsol-relaxed geometry.

abc: 3.634 3.634 7.990
angles: 90.00 90.00 90.00
Last column: magnetic moment on the atom in μB.
Element x y z (fractional)
Y1 0.000 0.000 0.529  0.32
La1 0.500 0.500 0.231  0.08
Li1 0.000 0.000 0.954  -0.01
Li2 0.500 0.500 0.786  0.01

ΔH_f (0 K) (eV/atom): 0.06
Space group: No. 99

[4]
DFT (meta-GGA SCAN) results for TlBTe2 at its PBEsol-relaxed geometry.

abc: 5.107 5.107 5.107
angles: 60.00 60.00 60.00
Element x y z (fractional)
Tl1 0.500 0.500 0.500
Te1 0.250 0.250 0.250
Te2 0.750 0.750 0.750
B1 0.000 0.000 0.000

Energy relative to the elements, uncorrected (eV per atom): 1.12
Space group: No. 225

[5]
DFT (meta-GGA SCAN) results for TiGaCu2 at its PBEsol-relaxed geometry.

abc: 4.195 4.195 4.195
angles: 60.00 60.00 60.00
Element x y z (fractional)
Cu1 0.750 0.750 0.750
Cu2 0.250 0.250 0.250
Ga1 0.500 0.500 0.500
Ti1 0.000 0.000 0.000

ΔH_f (0 K) (eV/atom): -0.32
Space group: No. 225

[6]
DFT (meta-GGA SCAN) results for YScO3 at its PBEsol-relaxed geometry.

abc: 3.549 3.549 12.205
angles: 90.00 90.00 120.00
Element x y z (fractional)
Y1 0.000 0.000 0.500
Y2 0.000 0.000 0.000
Sc1 0.333 0.667 0.250
Sc2 0.667 0.333 0.750
O1 0.333 0.667 0.418
O2 0.333 0.667 0.082
O3 0.000 0.000 0.250
O4 0.000 0.000 0.750
O5 0.667 0.333 0.582
O6 0.667 0.333 0.918

Energy relative to the elements, uncorrected (eV per atom): -3.88
Space group: No. 194

[7]
DFT (meta-GGA SCAN) results for Mg30NbNiO32 at its PBEsol-relaxed geometry.

abc: 8.469 8.469 8.475
angles: 90.00 90.00 90.00
Last column: magnetic moment on the atom in μB.
Element x y z (fractional)
Mg1 0.000 0.500 0.000  0.00
Mg2 0.500 0.000 0.000  0.00
Mg3 0.000 0.000 0.500  0.00
Mg4 0.000 0.500 0.500  0.00
Mg5 0.500 0.000 0.500  0.00
Mg6 0.500 0.500 0.500  0.00
Mg7 0.244 0.244 0.000  0.00
Mg8 0.244 0.756 0.000  0.00
Mg9 0.756 0.244 0.000  0.00
Mg10 0.756 0.756 0.000  0.00
Mg11 0.249 0.249 0.500  0.00
Mg12 0.249 0.751 0.500  0.00
Mg13 0.751 0.249 0.500  0.00
Mg14 0.751 0.751 0.500  0.00
Mg15 0.000 0.248 0.249  0.00
Mg16 0.000 0.752 0.249  0.00
Mg17 0.500 0.247 0.253  0.00
Mg18 0.500 0.753 0.253  0.00
Mg19 0.000 0.248 0.751  0.00
Mg20 0.000 0.752 0.751  0.00
Mg21 0.500 0.247 0.747  0.00
Mg22 0.500 0.753 0.747  0.00
Mg23 0.248 0.000 0.249  0.00
Mg24 0.247 0.500 0.253  0.00
Mg25 0.752 0.000 0.249  0.00
Mg26 0.753 0.500 0.253  0.00
Mg27 0.248 0.000 0.751  0.00
Mg28 0.247 0.500 0.747  0.00
Mg29 0.752 0.000 0.751  0.00
Mg30 0.753 0.500 0.747  0.00
Nb1 0.500 0.500 0.000  1.91
Ni1 0.000 0.000 0.000  1.40
O1 0.000 0.000 0.257  0.04
O2 0.000 0.500 0.251  0.00
O3 0.500 0.000 0.251  0.00
O4 0.500 0.500 0.259  0.04
O5 0.000 0.000 0.743  0.04
O6 0.000 0.500 0.749  0.00
O7 0.500 0.000 0.749  0.00
O8 0.500 0.500 0.741  0.04
O9 0.250 0.250 0.249  0.00
O10 0.250 0.750 0.249  0.00
O11 0.750 0.250 0.249  0.00
O12 0.750 0.750 0.249  0.00
O13 0.250 0.250 0.751  0.00
O14 0.250 0.750 0.751  0.00
O15 0.750 0.250 0.751  0.00
O16 0.750 0.750 0.751  0.00
O17 0.000 0.258 0.000  0.03
O18 0.000 0.742 0.000  0.03
O19 0.500 0.244 0.000  0.03
O20 0.500 0.756 0.000  0.03
O21 0.000 0.251 0.500  0.00
O22 0.000 0.749 0.500  0.00
O23 0.500 0.250 0.500  0.00
O24 0.500 0.750 0.500  0.00
O25 0.258 0.000 0.000  0.03
O26 0.244 0.500 0.000  0.03
O27 0.742 0.000 0.000  0.03
O28 0.756 0.500 0.000  0.03
O29 0.251 0.000 0.500  0.00
O30 0.250 0.500 0.500  0.00
O31 0.749 0.000 0.500  0.00
O32 0.750 0.500 0.500  0.00

Energy relative to the elements, uncorrected (eV per atom): -2.88
Space group: No. 123

[8]
DFT (meta-GGA SCAN) results for Li2EuGe at its PBEsol-relaxed geometry.

abc: 4.679 4.679 4.679
angles: 60.00 60.00 60.00
Last column: magnetic moment on the atom in μB.
Element x y z (fractional)
Eu1 0.500 0.500 0.500  6.91
Ge1 0.000 0.000 0.000  -0.14
Li1 0.250 0.250 0.250  0.01
Li2 0.750 0.750 0.750  0.01

ΔH_f (0 K) (eV/atom): -0.44
Space group: No. 225

Number 1: magnetic moment 10.00 μB per formula unit, D(E_F) 8.7 states/eV/cell, E -51.20 eV per atom. Number 2: magnetic moment 0.00 μB per formula unit, D(E_F) 22.8 states/eV/cell, E -35.67 eV per atom. Number 3: magnetic moment 0.62 μB per formula unit, D(E_F) 2.8 states/eV/cell, E -18.88 eV per atom. Number 4: magnetic moment 0.00 μB per formula unit, D(E_F) 2.7 states/eV/cell, E -37.45 eV per atom. Number 5: magnetic moment 0.00 μB per formula unit, D(E_F) 1.5 states/eV/cell, E -16.01 eV per atom. Number 6: magnetic moment 0.00 μB per formula unit, D(E_F) 0.0 states/eV/cell, E -16.04 eV per atom. Number 7: magnetic moment 4.21 μB per formula unit, D(E_F) 6.9 states/eV/cell, E -9.10 eV per atom. Number 8: magnetic moment 7.02 μB per formula unit, D(E_F) 7.3 states/eV/cell, E -19.83 eV per atom.